Entry from Alexandria via LeMat-Bulk: a relaxed Pm4NdCo4 crystal (PBE).

Unit cell a=8.589 b=8.589 c=5.748 alpha=90.00 beta=90.00 gamma=90.00
Atoms (fractional coordinates):
Pm (0.059, 0.675, 0.132)
Pm (0.175, 0.941, 0.632)
Pm (0.325, 0.559, 0.632)
Pm (0.441, 0.825, 0.132)
Pm (0.559, 0.175, 0.868)
Pm (0.675, 0.441, 0.368)
Pm (0.825, 0.059, 0.368)
Pm (0.941, 0.325, 0.868)
Nd (0.250, 0.250, 0.250)
Nd (0.750, 0.750, 0.750)
Co (0.015, 0.611, 0.610)
Co (0.111, 0.985, 0.110)
Co (0.389, 0.515, 0.110)
Co (0.485, 0.889, 0.610)
Co (0.515, 0.111, 0.390)
Co (0.611, 0.485, 0.890)
Co (0.889, 0.015, 0.890)
Co (0.985, 0.389, 0.390)

As for the density of states at the Fermi level: 5.7 states/eV/f.u. The final energy comes out at -5.774 eV per atom. The value obtained for the formation energy is 0.026 eV/atom. The calculation puts the total magnetization at 0.0000 μB per atom. As for the space group: P4_2/n, No. 86.